1.
A relaxed In2NiBr crystal, computed with PBE.

a = 3.3353 Å, b = 3.3353 Å, c = 7.7651 Å
α = 90.00°, β = 90.00°, γ = 90.00°
Last column: nearest neighbours and their distance in Å.
Positions (direct):
In: 0.0000 0.0000 0.4497  4 Ni 2.82, 1 In 3.10
In: 0.0000 0.0000 0.0503  4 Ni 2.82, 1 In 3.10
Br: 0.5000 0.5000 0.7500  8 In 3.32, 4 Br 3.34
Ni: 0.5000 0.5000 0.2500  8 In 2.82

Summary:
- formation energy (no corrections) (eV/atom) = -0.049
- M_tot (μB per formula unit) = 0.000
- E (eV for the cell shown) = -13.13

=====

2.
A relaxed InNiBr2 crystal, computed with PBE.

a = 6.2923 Å, b = 6.2923 Å, c = 6.2923 Å
α = 147.51°, β = 103.00°, γ = 86.08°
Last column: nearest neighbours and their distance in Å.
Positions (direct):
Br: 0.0791 0.0791 0.0000  2 Ni 2.36
Br: 0.7001 0.2001 0.5000  2 In 2.75
Ni: 0.2505 0.7505 0.5000  2 Br 2.36
In: 0.4703 0.4703 0.0000  2 Ni 2.68, 2 Br 2.75

Summary:
- formation energy (no corrections) (eV/atom) = -0.110
- M_tot (μB per formula unit) = 1.045
- E (eV for the cell shown) = -12.31